Record 1
# PBE-GGA Zn2PtPb2, optimized geometry
# **Offset from the most stable computed form**: 253 meV/atom
data_Zn2PtPb2
_chemical_formula_sum 'Zn4 Pt2 Pb4'
_space_group_name_H-M_alt 'P 1'
_space_group_IT_number 1
_space_group_name_Hall 'P 1'
_cell_length_a 7.380
_cell_length_b 7.380
_cell_length_c 4.334
_cell_angle_alpha 90.00
_cell_angle_beta 90.00
_cell_angle_gamma 90.00
loop_
_atom_site_label
_atom_site_type_symbol
_atom_site_fract_x
_atom_site_fract_y
_atom_site_fract_z
Zn1 Zn 0.137 0.363 0.000
Zn2 Zn 0.363 0.863 0.000
Zn3 Zn 0.637 0.137 0.000
Zn4 Zn 0.863 0.637 0.000
Pt1 Pt 0.000 0.000 0.500
Pt2 Pt 0.500 0.500 0.500
Pb1 Pb 0.165 0.665 0.500
Pb2 Pb 0.335 0.165 0.500
Pb3 Pb 0.665 0.835 0.500
Pb4 Pb 0.835 0.335 0.500


Record 2
Density functional theory data (PBE-GGA) for crystalline ZnPt2Pb at its relaxed geometry.

```
data_ZnPt2Pb
_chemical_formula_sum 'Zn4 Pt8 Pb4'
_space_group_name_H-M_alt 'P 1'
_space_group_IT_number 1
_space_group_name_Hall 'P 1'
_cell_length_a 4.130
_cell_length_b 4.130
_cell_length_c 18.239
_cell_angle_alpha 90.00
_cell_angle_beta 90.00
_cell_angle_gamma 90.00
loop_
_atom_site_label
_atom_site_type_symbol
_atom_site_fract_x
_atom_site_fract_y
_atom_site_fract_z
Zn1 Zn 0.000 0.000 0.000
Zn2 Zn 0.000 0.500 0.250
Zn3 Zn 0.500 0.000 0.750
Zn4 Zn 0.500 0.500 0.500
Pt1 Pt 0.225 0.250 0.125
Pt2 Pt 0.250 0.725 0.375
Pt3 Pt 0.250 0.775 0.875
Pt4 Pt 0.275 0.250 0.625
Pt5 Pt 0.725 0.750 0.625
Pt6 Pt 0.750 0.225 0.875
Pt7 Pt 0.750 0.275 0.375
Pt8 Pt 0.775 0.750 0.125
Pb1 Pb 0.000 0.000 0.500
Pb2 Pb 0.000 0.500 0.750
Pb3 Pb 0.500 0.000 0.250
Pb4 Pb 0.500 0.500 0.000
```


Number 1: formation energy 0.24 eV/atom. Number 2: formation energy 0.00 eV/atom.